# 1
Here is an optimized crystal structure of Ac2HfInPd6 from the Alexandria database. Energies are from PBE.

Calculated values
E_form = -0.2651 eV/atom
Total magnetization = 0.00 μB/atom
Symmetry = Fm-3m
Mass density = 9.04 g/cm3

Lattice parameters (Å, degrees): 7.1139 7.1139 7.1139 60.00 60.00 90.00
Fractional coordinates of all 10 atoms:
Pd 0.2544 0.2544 0.0000
Pd 0.7456 0.2544 0.0000
Pd 0.7456 0.7456 0.5087
Pd 0.2544 0.7456 0.0000
Pd 0.2544 0.2544 0.4913
Pd 0.7456 0.7456 0.0000
Hf 0.5000 0.5000 0.0000
In 0.0000 0.0000 0.0000
Ac 0.7500 0.2500 0.5000
Ac 0.2500 0.7500 0.5000


# 2
Here is an optimized crystal structure of AcHf2Ir2 from the Alexandria database. Energies are from PBE.

Calculated values
E_form = -0.8330 eV/atom
Total magnetization = 0.00 μB/atom
Symmetry = I4/mmm
Mass density = 13.83 g/cm3

Lattice parameters (Å, degrees): 4.5371 4.5371 6.4972 110.44 110.44 90.00
Fractional coordinates of all 5 atoms:
Hf 0.2500 0.7500 0.5000
Hf 0.7500 0.2500 0.5000
Ac 0.0000 0.0000 0.0000
Ir 0.6219 0.6219 0.2439
Ir 0.3781 0.3781 0.7561


# 3
Here is an optimized crystal structure of LiAcHfIr from the Alexandria database. Energies are from PBE.

Calculated values
E_form = -0.1102 eV/atom
Total magnetization = 0.00 μB/atom
Symmetry = F-43m
Mass density = 11.34 g/cm3

Lattice parameters (Å, degrees): 5.0029 5.0029 5.0029 60.00 60.00 60.00
Fractional coordinates of all 4 atoms:
Li 0.5000 0.5000 0.5000
Ac 0.7500 0.7500 0.7500
Ir 0.0000 0.0000 0.0000
Hf 0.2500 0.2500 0.2500